1.
DFT (PBE) results for a relaxed Cd2HgSCl crystal.

Values from the calculation:
- total magnetization (μB/cell) = 0.0
- uncorrected formation energy (eV per formula unit) = 0.168
- density of states at the Fermi level (states/eV/atom) = 0.28
- symmetry = P4/mmm (123)

Lattice parameters (Å, degrees): 5.250 5.250 5.261 90.00 90.00 90.00
Sites, in units of the cell vectors:
1 Cd 0.000 0.500 0.000
2 Cd 0.500 0.000 0.000
3 Hg 0.000 0.000 0.500
4 S 0.500 0.500 0.000
5 Cl 0.500 0.500 0.500

***

2.
DFT (PBE) results for a relaxed CaTc2HgO crystal.

Values from the calculation:
- total magnetization (μB/cell) = 7.3
- uncorrected formation energy (eV per formula unit) = 7.067
- density of states at the Fermi level (states/eV/atom) = 1.23
- symmetry = P4/mmm (123)

Lattice parameters (Å, degrees): 5.296 5.296 4.130 90.00 90.00 90.00
Sites, in units of the cell vectors:
1 Ca 0.000 0.000 0.000
2 Tc 0.000 0.500 0.000
3 Tc 0.500 0.000 0.000
4 Hg 0.500 0.500 0.500
5 O 0.000 0.000 0.500